# 1
Crystalline P2RuPt at its relaxed geometry. Source: Alexandria, functional PBE-GGA. Values from VASP.

The structure in Quantum ESPRESSO input format:
```
&SYSTEM
  ibrav = 0, nat = 4, ntyp = 3
/
ATOMIC_SPECIES
P 30.97 P.upf
Ru 101.07 Ru.upf
Pt 195.08 Pt.upf
ATOMIC_POSITIONS crystal
P 0.000 0.000 0.000
P 0.680 0.680 0.469
Ru 0.403 0.403 0.301
Pt 0.271 0.271 0.795
CELL_PARAMETERS angstrom
3.868 -1.510 0.000
3.868 1.510 0.000
-0.065 0.000 5.300
```

Computed properties:
For the distance to the lowest polymorph of the same formula, the calculation gives 0 meV per atom. Its formation energy is -0.40 eV per atom. The calculation puts the final energy at -6.93 eV per atom. Its magnetization is 0.000 μB/f.u. As for the space group: Cm.

***

# 2
Crystalline PRu2Pt at its relaxed geometry. Source: Alexandria, functional PBE-GGA. Values from VASP.

The structure in Quantum ESPRESSO input format:
```
&SYSTEM
  ibrav = 0, nat = 4, ntyp = 3
/
ATOMIC_SPECIES
P 30.97 P.upf
Ru 101.07 Ru.upf
Pt 195.08 Pt.upf
ATOMIC_POSITIONS crystal
P 0.000 0.000 0.000
Ru 0.000 0.000 0.519
Ru 0.500 0.500 0.787
Pt 0.500 0.500 0.240
CELL_PARAMETERS angstrom
1.417 -2.414 0.000
1.417 2.414 0.000
0.000 0.000 8.543
```

Computed properties:
Its formation energy is 0.32 eV per atom. The calculation puts the final energy at -7.18 eV per atom. Its magnetization is 0.790 μB/f.u. As for the space group: Cmm2.